[1]
{
  "formula": "CaSiW2",
  "functional": "GGA-PBE",
  "state": "relaxed",
  "cell": [[2.822, 0.000, 0.000], [0.000, 2.822, 0.000], [0.000, 0.000, 8.915]],
  "species": ["Ca", "Si", "W", "W"],
  "fractional_positions": [[0.000, 0.000, 0.000], [0.500, 0.500, 0.262], [0.000, 0.000, 0.461], [0.500, 0.500, 0.706]],
  "crystal_system": "tetragonal",
  "e_form_raw_ev_per_atom": 0.441
}

=====

[2]
{
  "formula": "Mg5Re",
  "functional": "GGA-PBE",
  "state": "relaxed",
  "cell": [[4.860, 0.000, 0.000], [0.000, 1.456, 8.286], [0.000, -1.456, 8.286]],
  "species": ["Mg", "Mg", "Mg", "Mg", "Mg", "Re"],
  "fractional_positions": [[0.000, 0.000, 0.000], [0.000, 0.301, 0.301], [0.500, 0.096, 0.096], [0.500, 0.418, 0.418], [0.500, 0.745, 0.745], [0.000, 0.652, 0.652]],
  "crystal_system": "orthorhombic",
  "relative_energy_kj_per_mol_fu": 0.9,
  "ef_mev_per_atom": 211
}

=====

[3]
{
  "formula": "Ti3Al3VNi2",
  "functional": "GGA-PBE",
  "state": "relaxed",
  "cell": [[7.403, 0.000, 0.000], [-3.701, 6.411, 0.000], [0.000, 0.000, 2.764]],
  "species": ["Ti", "Ti", "Ti", "Al", "Al", "Al", "V", "Ni", "Ni"],
  "fractional_positions": [[0.000, 0.703, 0.000], [0.297, 0.297, 0.000], [0.703, 0.000, 0.000], [0.000, 0.368, 0.500], [0.368, 0.000, 0.500], [0.632, 0.632, 0.500], [0.000, 0.000, 0.500], [0.333, 0.667, 0.000], [0.667, 0.333, 0.000]],
  "crystal_system": "hexagonal",
  "ef_mev_per_atom": -302
}

=====

[4]
{
  "formula": "AlFe2W2",
  "functional": "GGA-PBE",
  "state": "relaxed",
  "cell": [[7.017, 0.000, 0.000], [0.000, 7.017, 0.000], [0.000, 0.000, 2.829]],
  "species": ["Al", "Al", "Fe", "Fe", "Fe", "Fe", "W", "W", "W", "W"],
  "fractional_positions": [[0.000, 0.000, 0.000], [0.500, 0.500, 0.000], [0.128, 0.372, 0.000], [0.372, 0.872, 0.000], [0.628, 0.128, 0.000], [0.872, 0.628, 0.000], [0.166, 0.666, 0.500], [0.334, 0.166, 0.500], [0.666, 0.834, 0.500], [0.834, 0.334, 0.500]],
  "crystal_system": "tetragonal",
  "relative_energy_kj_per_mol_fu": 0.0,
  "ef_mev_per_atom": 116
}

=====

[5]
{
  "formula": "TmPuCo",
  "functional": "GGA-PBE",
  "state": "relaxed",
  "cell": [[-1.651, 1.651, 6.028], [1.651, -1.651, 6.028], [1.651, 1.651, -6.028]],
  "species": ["Tm", "Pu", "Co"],
  "fractional_positions": [[0.000, 0.000, 0.000], [0.269, 0.269, 0.000], [0.634, 0.634, 0.000]],
  "crystal_system": "tetragonal",
  "relative_energy_kj_per_mol_fu": 22.3,
  "ef_mev_per_atom": 4
}

=====

[6]
{
  "formula": "SnBiPb2Se5",
  "functional": "GGA-PBE",
  "state": "relaxed",
  "cell": [[2.155, -9.234, 0.000], [2.155, 9.234, 0.000], [0.000, 0.000, 13.310]],
  "species": ["Sn", "Sn", "Bi", "Bi", "Pb", "Pb", "Pb", "Pb", "Se", "Se", "Se", "Se", "Se", "Se", "Se", "Se", "Se", "Se"],
  "fractional_positions": [[0.047, 0.953, 0.500], [0.953, 0.047, 0.000], [0.284, 0.716, 0.074], [0.716, 0.284, 0.574], [0.374, 0.626, 0.347], [0.384, 0.616, 0.717], [0.616, 0.384, 0.217], [0.626, 0.374, 0.847], [0.013, 0.987, 0.817], [0.129, 0.871, 0.061], [0.185, 0.815, 0.424], [0.221, 0.779, 0.727], [0.448, 0.552, 0.128], [0.552, 0.448, 0.628], [0.779, 0.221, 0.227], [0.815, 0.185, 0.924], [0.871, 0.129, 0.561], [0.987, 0.013, 0.317]],
  "crystal_system": "orthorhombic",
  "e_form_raw_ev_per_atom": -0.399
}

=====

[7]
{
  "formula": "LiHgMo2",
  "functional": "GGA-PBE",
  "state": "relaxed",
  "cell": [[1.708, -2.086, 0.000], [1.708, 2.086, 0.000], [0.000, 0.000, 9.514]],
  "species": ["Li", "Hg", "Mo", "Mo"],
  "fractional_positions": [[0.000, 0.000, 0.000], [0.000, 0.000, 0.500], [0.500, 0.500, 0.243], [0.500, 0.500, 0.757]],
  "crystal_system": "orthorhombic",
  "ef_mev_per_atom": 605
}

=====

[8]
{
  "formula": "Cd2HgPt",
  "functional": "GGA-PBE",
  "state": "relaxed",
  "cell": [[1.528, 0.882, 10.051], [-1.528, 0.882, 10.051], [0.000, -1.764, 10.051]],
  "species": ["Cd", "Cd", "Hg", "Pt"],
  "fractional_positions": [[0.000, 0.000, 0.000], [0.243, 0.243, 0.243], [0.757, 0.757, 0.757], [0.502, 0.502, 0.502]],
  "crystal_system": "trigonal",
  "ef_mev_per_atom": 19
}